! NaCr3Tc, relaxed, DFT GGA-PBEsol; values from VASP
! SG = Pm-3m (221)
&SYSTEM
  ibrav = 0, nat = 5, ntyp = 3
/
ATOMIC_SPECIES
Cr 52.00 Cr.upf
Tc 98.00 Tc.upf
Na 22.99 Na.upf
CELL_PARAMETERS angstrom
4.651 0.000 0.000
0.000 4.651 0.000
0.000 0.000 4.651
ATOMIC_POSITIONS crystal
Cr 0.000 0.500 0.000
Cr 0.000 0.000 0.500
Cr 0.500 0.000 0.000
Tc 0.000 0.000 0.000
Na 0.500 0.500 0.500

! NaCrTc3, relaxed, DFT GGA-PBEsol; values from VASP
! SG = Pm-3m (221)
&SYSTEM
  ibrav = 0, nat = 5, ntyp = 3
/
ATOMIC_SPECIES
Cr 52.00 Cr.upf
Tc 98.00 Tc.upf
Na 22.99 Na.upf
CELL_PARAMETERS angstrom
4.374 0.000 0.000
0.000 4.374 0.000
0.000 0.000 4.374
ATOMIC_POSITIONS crystal
Cr 0.500 0.500 0.500
Tc 0.000 0.500 0.000
Tc 0.000 0.000 0.500
Tc 0.500 0.000 0.000
Na 0.000 0.000 0.000

Number 1: formation energy 1.36 eV per atom, density of states at the Fermi level 3.127 states/eV per cell. Number 2: formation energy 2.81 eV per atom, density of states at the Fermi level 6.870 states/eV per cell.